# 1
The following is a DFT calculation (PBE) of a geometry-optimized RbMn2NiI8 structure.

Computed properties:
VASP energy ... -3.501 eV/atom
D(E_F) ... 0.718 states/eV per atom
Magnetic moment ... 20.97 Bohr magnetons per cell

Unit cell a=7.0988 b=7.0988 c=33.4327 alpha=90.00 beta=90.00 gamma=120.00
Space group R32 (No. 155, hexagonal axes)
Inequivalent atoms, fractional coordinates:
Rb: 0.0000 0.0000 0.0000 [3 per cell]
Mn: 0.0000 0.0000 0.2434 [6 per cell]
Ni: 0.0000 0.0000 0.5000 [3 per cell]
I: 0.0000 0.0000 0.3215 [6 per cell]
I: 0.0110 0.3090 0.5552 [18 per cell]

***

# 2
The following is a DFT calculation (PBE) of a geometry-optimized Gd2ScNi structure.

Computed properties:
DFT formation energy ... -0.467 eV/f.u.
VASP energy ... -10.185 eV/atom
D(E_F) ... 1.426 states/eV per atom
Magnetic moment ... 14.81 Bohr magnetons per cell

Unit cell a=3.491 b=3.491 c=7.974 alpha=90.00 beta=90.00 gamma=90.00
Space group P4/mmm (No. 123)
Inequivalent atoms, fractional coordinates:
Gd: 0.000 0.000 0.204 [2 per cell]
Sc: 0.500 0.500 0.500 [1 per cell]
Ni: 0.500 0.500 0.000 [1 per cell]

***

# 3
The following is a DFT calculation (PBE) of a geometry-optimized YBeTl3 structure.

Computed properties:
DFT formation energy ... 5.335 eV/f.u.
VASP energy ... -2.391 eV/atom
D(E_F) ... 1.163 states/eV per atom
Magnetic moment ... 0.00 Bohr magnetons per cell

Unit cell a=6.000 b=6.000 c=6.000 alpha=90.00 beta=90.00 gamma=90.00
Space group Pm-3m (No. 221)
Inequivalent atoms, fractional coordinates:
Y: 0.000 0.000 0.000 [1 per cell]
Be: 0.500 0.500 0.500 [1 per cell]
Tl: 0.000 0.000 0.500 [3 per cell]

***

# 4
The following is a DFT calculation (PBE) of a geometry-optimized Sr2LiZrCd structure.

Computed properties:
DFT formation energy ... 4.355 eV/f.u.
VASP energy ... -2.077 eV/atom
D(E_F) ... 1.490 states/eV per atom
Magnetic moment ... 2.80 Bohr magnetons per cell

Unit cell a=6.239 b=6.239 c=5.149 alpha=90.00 beta=90.00 gamma=90.00
Space group P4/mmm (No. 123)
Inequivalent atoms, fractional coordinates:
Sr: 0.000 0.500 0.000 [2 per cell]
Li: 0.000 0.000 0.500 [1 per cell]
Zr: 0.000 0.000 0.000 [1 per cell]
Cd: 0.500 0.500 0.500 [1 per cell]

***

# 5
The following is a DFT calculation (PBE) of a geometry-optimized Dy2Co3Ge4 structure.

Computed properties:
DFT formation energy ... -4.471 eV/f.u.
VASP energy ... -5.940 eV/atom
D(E_F) ... 0.524 states/eV per atom
Magnetic moment ... 0.00 Bohr magnetons per cell

Unit cell a=5.304 b=9.268 c=12.077 alpha=90.00 beta=90.00 gamma=90.00
Space group Fmmm (No. 69)
Inequivalent atoms, fractional coordinates:
Dy: 0.000 0.000 0.132 [8 per cell]
Co: 0.000 0.000 0.500 [4 per cell]
Co: 0.250 0.250 0.000 [8 per cell]
Ge: 0.000 0.169 0.347 [16 per cell]

***

# 6
The following is a DFT calculation (PBE) of a geometry-optimized Tm2PuAl9 structure.

Computed properties:
DFT formation energy ... -4.101 eV/f.u.
VASP energy ... -5.088 eV/atom
D(E_F) ... 1.054 states/eV per atom
Magnetic moment ... 17.91 Bohr magnetons per cell

Unit cell a=5.5047 b=5.5047 c=26.3367 alpha=90.00 beta=90.00 gamma=120.00
Space group R-3m (No. 166, hexagonal axes)
Inequivalent atoms, fractional coordinates:
Tm: 0.0000 0.0000 0.1408 [6 per cell]
Pu: 0.0000 0.0000 0.0000 [3 per cell]
Al: 0.0000 0.0000 0.3348 [6 per cell]
Al: 0.0000 0.0000 0.5000 [3 per cell]
Al: 0.0060 0.5030 0.9162 [18 per cell]

***

# 7
The following is a DFT calculation (PBE) of a geometry-optimized CaTi2Pd2 structure.

Computed properties:
DFT formation energy ... -1.891 eV/f.u.
VASP energy ... -6.014 eV/atom
D(E_F) ... 0.670 states/eV per atom
Magnetic moment ... 0.00 Bohr magnetons per cell

Unit cell a=4.376 b=4.376 c=10.722 alpha=90.00 beta=90.00 gamma=90.00
Space group I4/mmm (No. 139)
Inequivalent atoms, fractional coordinates:
Ca: 0.000 0.000 0.000 [2 per cell]
Ti: 0.000 0.500 0.250 [4 per cell]
Pd: 0.000 0.000 0.375 [4 per cell]

***

# 8
The following is a DFT calculation (PBE) of a geometry-optimized Cd2SnRu structure.

Computed properties:
DFT formation energy ... 1.585 eV/f.u.
VASP energy ... -3.381 eV/atom
D(E_F) ... 0.111 states/eV per atom
Magnetic moment ... 0.00 Bohr magnetons per cell

Unit cell a=8.622 b=8.622 c=5.210 alpha=90.00 beta=90.00 gamma=90.00
Space group I-42d (No. 122)
Inequivalent atoms, fractional coordinates:
Cd: 0.171 0.750 0.125 [8 per cell]
Sn: 0.000 0.000 0.500 [4 per cell]
Ru: 0.000 0.000 0.000 [4 per cell]